1.
NaNdPaO4: relaxed, PBE.

a = 7.1407 Å, b = 7.1703 Å, c = 7.0229 Å
α = 119.32°, β = 90.00°, γ = 119.86°
Site moments in Bohr magnetons follow the coordinates.
Positions (direct):
Na (0.8894, 0.7788, 0.1394)  0.00
Na (0.1106, 0.2212, 0.8606)  0.00
Nd (0.5000, 0.0000, 0.5000)  0.15
Nd (0.5000, 0.0000, 0.0000)  0.15
Pa (0.5000, 0.5000, 0.5000)  0.70
Pa (0.0000, 0.5000, 0.5000)  0.70
O (0.7359, 0.4718, 0.6913)  -0.02
O (0.3074, 0.0731, 0.2865)  -0.01
O (0.7657, 0.0731, 0.2865)  -0.01
O (0.7359, 0.4718, 0.2805)  -0.02
O (0.2641, 0.5282, 0.7195)  -0.02
O (0.6926, 0.9269, 0.7135)  -0.01
O (0.2343, 0.9269, 0.7135)  -0.01
O (0.2641, 0.5282, 0.3087)  -0.02

Calculated values
**ρ**: 5.97 Mg/m³
**Calculated volume**: 18.38 Å³ per atom
**Total moment**: 0.1423 μB per atom
**Raw formation energy**: -2.94 eV per atom
**SG**: Imma

=====

2.
LaTe2Pd: relaxed, PBE.

a = 5.3085 Å, b = 5.3085 Å, c = 5.3085 Å
α = 60.00°, β = 60.00°, γ = 60.00°
Positions (direct):
Te (0.2500, 0.2500, 0.2500)
Te (0.7500, 0.7500, 0.7500)
Pd (0.0000, 0.0000, 0.0000)
La (0.5000, 0.5000, 0.5000)

Calculated values
**ρ**: 7.86 Mg/m³
**Calculated volume**: 26.45 Å³ per atom
**Total moment**: 0.0000 μB per atom
**Raw formation energy**: -0.79 eV per atom
**SG**: Fm-3m
**Excess energy over the best structure of this formula in the dataset**: 0 meV/atom

=====

3.
PmPrDyCu: relaxed, PBE.

a = 3.5781 Å, b = 3.5781 Å, c = 8.7876 Å
α = 90.00°, β = 90.00°, γ = 90.00°
Positions (direct):
Pm (0.5000, 0.5000, 0.7664)
Pr (0.0000, 0.0000, 0.0766)
Dy (0.5000, 0.5000, 0.3809)
Cu (0.0000, 0.0000, 0.5607)

Calculated values
**ρ**: 7.56 Mg/m³
**Calculated volume**: 28.13 Å³ per atom
**Total moment**: 0.0000 μB per atom
**SG**: P4mm
**DFT formation energy**: -85 meV per atom

=====

no.,density of states at the Fermi level (states/eV per cell)
1,7.2
2,5.5
3,3.9